1.
{"formula": "RbAg2Cl8", "functional": "PBE", "state": "relaxed", "formation_energy_uncorrected_ev_per_atom": -0.458, "sg": "C2/m, No. 12", "rho_g_cm3": 3.336, "n_ef_per_ev_atom": 0.71, "lattice_angstrom": [[5.0205, 0.0336, 0.0000], [0.1674, 7.8657, 0.0000], [0.0837, 3.9329, 7.3718]], "species": ["Rb", "Ag", "Ag", "Cl", "Cl", "Cl", "Cl", "Cl", "Cl", "Cl", "Cl"], "fractional_positions": [[0.5000, 0.0000, 0.0000], [0.0000, 0.2591, 0.4818], [0.0000, 0.7409, 0.5182], [0.9893, 0.0982, 0.2662], [0.9893, 0.3644, 0.7338], [0.3414, 0.4257, 0.0000], [0.5000, 0.7505, 0.4990], [0.5000, 0.2495, 0.5010], [0.6586, 0.5743, 0.0000], [0.0107, 0.6356, 0.2662], [0.0107, 0.9018, 0.7338]]}

=====

2.
{"formula": "VB2C", "functional": "PBE", "state": "relaxed", "sg": "I-42d, No. 122", "rho_g_cm3": 4.468, "e_form_ev_per_atom": 0.292, "n_ef_per_ev_atom": 0.27, "lattice_angstrom": [[5.1258, 0.0000, 0.0000], [0.0000, 5.1258, 0.0000], [2.5629, 2.5629, 2.3928]], "species": ["C", "C", "B", "B", "B", "B", "V", "V"], "fractional_positions": [[0.5000, 0.5000, 0.0000], [0.2500, 0.7500, 0.5000], [0.5310, 0.1250, 0.2500], [0.2190, 0.6250, 0.2500], [0.3750, 0.4690, 0.7500], [0.8750, 0.7810, 0.7500], [0.0000, 0.0000, 0.0000], [0.7500, 0.2500, 0.5000]]}

=====

3.
{"formula": "LaTmNiRh", "functional": "PBE", "state": "relaxed", "sg": "F-43m, No. 216", "rho_g_cm3": 9.277, "e_form_ev_per_atom": -0.537, "n_ef_per_ev_atom": 0.73, "lattice_angstrom": [[4.9164, 0.0000, 0.0000], [2.4582, 4.2577, 0.0000], [2.4582, 1.4192, 4.0142]], "species": ["Ni", "Tm", "Rh", "La"], "fractional_positions": [[0.5000, 0.5000, 0.5000], [0.7500, 0.7500, 0.7500], [0.0000, 0.0000, 0.0000], [0.2500, 0.2500, 0.2500]]}

=====

4.
{"formula": "LiCaAl3", "functional": "PBE", "state": "relaxed", "sg": "Cmcm, No. 63", "rho_g_cm3": 2.015, "e_form_ev_per_atom": -0.149, "n_ef_per_ev_atom": 0.30, "de_polymorph_mev_per_atom": 0.0, "lattice_angstrom": [[-3.2028, -5.4540, 1.0941], [-1.9890, -3.3974, -5.0666], [5.0035, -2.9371, 0.0053]], "species": ["Li", "Li", "Ca", "Ca", "Al", "Al", "Al", "Al", "Al", "Al"], "fractional_positions": [[0.8761, 0.0790, 0.5524], [0.6845, 0.8867, 0.0524], [0.0125, 0.2152, 0.0524], [0.5481, 0.7505, 0.5524], [0.1151, 0.3177, 0.5524], [0.4455, 0.6480, 0.0524], [0.4853, 0.2777, 0.8024], [0.4853, 0.2777, 0.3024], [0.0753, 0.6880, 0.3024], [0.0753, 0.6880, 0.8024]]}

=====

5.
{"formula": "Mn4Cl5", "functional": "PBE", "state": "relaxed", "formation_energy_uncorrected_ev_per_atom": -0.231, "sg": "P6_3/mcm, No. 193", "rho_g_cm3": 3.927, "n_ef_per_ev_atom": 0.48, "lattice_angstrom": [[-5.0597, -5.2336, -1.0715], [2.5254, 1.3429, 6.7792], [-5.1990, 4.8255, 0.9809]], "species": ["Mn", "Mn", "Mn", "Mn", "Mn", "Mn", "Mn", "Mn", "Cl", "Cl", "Cl", "Cl", "Cl", "Cl", "Cl", "Cl", "Cl", "Cl"], "fractional_positions": [[0.0000, 0.0000, 0.0000], [0.0000, 0.0000, 0.5000], [0.0000, 0.4010, 0.2500], [0.5990, 0.5990, 0.2500], [0.4010, 0.0000, 0.2500], [0.0000, 0.5990, 0.7500], [0.4010, 0.4010, 0.7500], [0.5990, 0.0000, 0.7500], [0.0000, 0.7478, 0.2500], [0.2522, 0.2522, 0.2500], [0.7478, 0.0000, 0.2500], [0.0000, 0.2522, 0.7500], [0.7478, 0.7478, 0.7500], [0.2522, 0.0000, 0.7500], [0.6667, 0.3333, 0.0000], [0.3333, 0.6667, 0.5000], [0.3333, 0.6667, 0.0000], [0.6667, 0.3333, 0.5000]]}

=====

6.
{"formula": "Ce2AgSn3Pd4", "functional": "PBE", "state": "relaxed", "sg": "P-4m2, No. 115", "rho_g_cm3": 8.836, "e_form_ev_per_atom": -0.619, "n_ef_per_ev_atom": 1.73, "lattice_angstrom": [[4.2773, 0.0000, 0.0000], [0.0000, 4.2773, 0.0000], [0.0000, 0.0000, 12.0168]], "species": ["Ce", "Ce", "Ag", "Sn", "Sn", "Sn", "Pd", "Pd", "Pd", "Pd"], "fractional_positions": [[0.5000, 0.0000, 0.2599], [0.0000, 0.5000, 0.7401], [0.5000, 0.5000, 0.5000], [0.0000, 0.0000, 0.5000], [0.5000, 0.0000, 0.8683], [0.0000, 0.5000, 0.1317], [0.5000, 0.5000, 0.0000], [0.0000, 0.0000, 0.0000], [0.5000, 0.0000, 0.6500], [0.0000, 0.5000, 0.3500]]}

=====

7.
{"formula": "Ac2Y5Ho3", "functional": "PBE", "state": "relaxed", "sg": "C2/c, No. 15", "rho_g_cm3": 6.468, "e_form_ev_per_atom": 0.209, "n_ef_per_ev_atom": 1.67, "lattice_angstrom": [[9.9964, 2.9571, -5.1502], [1.7546, 8.7938, -4.6833], [-3.4460, -2.9562, 11.3085]], "species": ["Ac", "Ac", "Ac", "Ac", "Y", "Y", "Y", "Y", "Y", "Y", "Y", "Y", "Y", "Y", "Ho", "Ho", "Ho", "Ho", "Ho", "Ho"], "fractional_positions": [[0.8592, 0.8591, 0.7186], [0.1408, 0.1409, 0.2814], [0.3594, 0.8595, 0.7186], [0.6406, 0.1405, 0.2814], [0.2496, 0.4996, 0.9992], [0.7504, 0.5004, 0.0008], [0.9700, 0.7200, 0.4399], [0.5311, 0.2811, 0.5621], [0.0300, 0.2800, 0.5601], [0.4689, 0.7189, 0.4379], [0.7820, 0.5636, 0.7521], [0.2180, 0.4364, 0.2479], [0.4701, 0.1886, 0.7521], [0.5299, 0.8114, 0.2479], [0.2473, 0.9973, 0.9946], [0.7527, 0.0027, 0.0054], [0.7198, 0.4391, 0.2528], [0.2802, 0.5609, 0.7472], [0.0330, 0.8137, 0.2528], [0.9670, 0.1863, 0.7472]]}

=====

8.
{"formula": "Sc4MoRu5", "functional": "PBE", "state": "relaxed", "sg": "P4/mmm, No. 123", "rho_g_cm3": 8.000, "e_form_ev_per_atom": -0.447, "n_ef_per_ev_atom": 0.77, "lattice_angstrom": [[3.1721, 0.0000, 0.0000], [0.0000, 3.1721, 0.0000], [0.0000, 0.0000, 16.1139]], "species": ["Sc", "Sc", "Sc", "Sc", "Mo", "Ru", "Ru", "Ru", "Ru", "Ru"], "fractional_positions": [[0.0000, 0.0000, 0.2028], [0.0000, 0.0000, 0.4000], [0.0000, 0.0000, 0.6000], [0.0000, 0.0000, 0.7972], [0.0000, 0.0000, 0.0000], [0.5000, 0.5000, 0.0922], [0.5000, 0.5000, 0.2969], [0.5000, 0.5000, 0.5000], [0.5000, 0.5000, 0.7031], [0.5000, 0.5000, 0.9078]]}

=====

9.
{"formula": "KZn3In", "functional": "PBE", "state": "relaxed", "sg": "Pm-3m, No. 221", "rho_g_cm3": 2.820, "e_form_ev_per_atom": 0.837, "n_ef_per_ev_atom": 1.10, "de_polymorph_mev_per_atom": 582.5, "lattice_angstrom": [[5.9074, 0.0000, 0.0000], [0.0000, 5.9074, 0.0000], [0.0000, 0.0000, 5.9074]], "species": ["Zn", "Zn", "Zn", "K", "In"], "fractional_positions": [[0.0000, 0.5000, 0.0000], [0.0000, 0.0000, 0.5000], [0.5000, 0.0000, 0.0000], [0.0000, 0.0000, 0.0000], [0.5000, 0.5000, 0.5000]]}

=====

10.
{"formula": "LaZn2Ga4Ni", "functional": "PBE", "state": "relaxed", "sg": "R-3m, No. 166", "rho_g_cm3": 6.972, "e_form_ev_per_atom": -0.300, "n_ef_per_ev_atom": 0.35, "lattice_angstrom": [[-0.2464, 0.1554, -4.3129], [-3.1599, -2.1096, -2.0618], [-6.3376, 6.5951, -1.5665]], "species": ["La", "Zn", "Zn", "Ga", "Ga", "Ga", "Ga", "Ni"], "fractional_positions": [[0.0000, 0.0000, 0.0000], [0.7527, 0.7527, 0.7419], [0.2473, 0.2473, 0.2581], [0.4054, 0.4054, 0.7837], [0.8638, 0.8638, 0.4087], [0.1362, 0.1362, 0.5913], [0.5946, 0.5946, 0.2163], [0.5000, 0.5000, 0.5000]]}

=====

11.
{"formula": "YTi2ZnC", "functional": "PBE", "state": "relaxed", "sg": "P4/mmm, No. 123", "rho_g_cm3": 5.035, "e_form_ev_per_atom": -0.297, "n_ef_per_ev_atom": 0.79, "lattice_angstrom": [[4.2571, 0.0000, 0.0000], [0.0000, 4.2571, 0.0000], [0.0000, 0.0000, 4.7691]], "species": ["Y", "Zn", "C", "Ti", "Ti"], "fractional_positions": [[0.0000, 0.0000, 0.5000], [0.5000, 0.5000, 0.5000], [0.0000, 0.0000, 0.0000], [0.0000, 0.5000, 0.0000], [0.5000, 0.0000, 0.0000]]}

=====

12.
{"formula": "CsTeI2N", "functional": "PBE", "state": "relaxed", "formation_energy_uncorrected_ev_per_atom": 1.334, "sg": "P4/mmm, No. 123", "rho_g_cm3": 4.108, "n_ef_per_ev_atom": 1.87, "de_polymorph_mev_per_atom": 1386.3, "lattice_angstrom": [[6.9339, 0.0000, 0.0000], [0.0000, 6.9339, 0.0000], [0.0000, 0.0000, 4.4417]], "species": ["Cs", "I", "I", "Te", "N"], "fractional_positions": [[0.0000, 0.0000, 0.0000], [0.0000, 0.5000, 0.0000], [0.5000, 0.0000, 0.0000], [0.5000, 0.5000, 0.5000], [0.0000, 0.0000, 0.5000]]}

=====

13.
{"formula": "BaNa2Ni2", "functional": "PBE", "state": "relaxed", "sg": "I4/mmm, No. 139", "rho_g_cm3": 3.921, "e_form_ev_per_atom": 0.280, "n_ef_per_ev_atom": 0.27, "de_polymorph_mev_per_atom": 0.0, "lattice_angstrom": [[4.4626, 0.0000, 0.0000], [0.0000, 4.4626, 0.0000], [2.2313, 2.2313, 6.3950]], "species": ["Ni", "Ni", "Ba", "Na", "Na"], "fractional_positions": [[0.4117, 0.4117, 0.1766], [0.5883, 0.5883, 0.8234], [0.0000, 0.0000, 0.0000], [0.7500, 0.2500, 0.5000], [0.2500, 0.7500, 0.5000]]}

=====

14.
{"formula": "CeThGe2", "functional": "PBE", "state": "relaxed", "sg": "P4/mmm, No. 123", "rho_g_cm3": 8.969, "e_form_ev_per_atom": -0.594, "n_ef_per_ev_atom": 1.50, "lattice_angstrom": [[-3.0951, 2.1258, -1.6470], [-3.0627, -2.0221, 3.1456], [0.8186, 3.6048, 3.1143]], "species": ["Ge", "Ge", "Ce", "Th"], "fractional_positions": [[0.0000, 0.0000, 0.5000], [0.0000, 0.5000, 0.0000], [0.5000, 0.5000, 0.5000], [0.5000, 0.0000, 0.0000]]}

=====

15.
{"formula": "PmNp2O11", "functional": "PBE", "state": "relaxed", "formation_energy_uncorrected_ev_per_atom": -2.112, "sg": "Ima2, No. 46", "rho_g_cm3": 5.547, "lattice_angstrom": [[-5.4801, -2.0191, -7.3123], [-7.7540, -3.5442, 0.8012], [-6.3948, 5.0692, -2.5959]], "species": ["Pm", "Pm", "Np", "Np", "Np", "Np", "O", "O", "O", "O", "O", "O", "O", "O", "O", "O", "O", "O", "O", "O", "O", "O", "O", "O", "O", "O", "O", "O"], "fractional_positions": [[0.7468, 0.7500, 0.7500], [0.2468, 0.2500, 0.2500], [0.7200, 0.7213, 0.2787], [0.2699, 0.2716, 0.7284], [0.7699, 0.2284, 0.7716], [0.2200, 0.7787, 0.2213], [0.6959, 0.7423, 0.5038], [0.2944, 0.2530, 0.5035], [0.0508, 0.4966, 0.7470], [0.7944, 0.0034, 0.7531], [0.9420, 0.4962, 0.2576], [0.1958, 0.0038, 0.2423], [0.4419, 0.7577, 0.9962], [0.5509, 0.2469, 0.9967], [0.4681, 0.4754, 0.5246], [0.9682, 0.0247, 0.9753], [0.9453, 0.8810, 0.1189], [0.1116, 0.0515, 0.9486], [0.6116, 0.4486, 0.5514], [0.4452, 0.6190, 0.3810], [0.5013, 0.9488, 0.2962], [0.5008, 0.0586, 0.6973], [0.2568, 0.3026, 0.9414], [0.0007, 0.1974, 0.5586], [0.7464, 0.7038, 0.0512], [0.0014, 0.7962, 0.4489], [0.2465, 0.5511, 0.2039], [0.7567, 0.4414, 0.8026]]}

=====

16.
{"formula": "ZrSeS", "functional": "PBE", "state": "relaxed", "formation_energy_uncorrected_ev_per_atom": -1.429, "sg": "P2_1/m, No. 11", "rho_g_cm3": 4.098, "de_polymorph_mev_per_atom": 0.0, "lattice_angstrom": [[-3.5808, 1.0832, 0.2337], [-0.3442, 0.2580, -6.4689], [-1.9482, -6.4604, 0.0935]], "species": ["Zr", "Zr", "Se", "Se", "S", "S"], "fractional_positions": [[0.7500, 0.2456, 0.5023], [0.2500, 0.7544, 0.4977], [0.7500, 0.5909, 0.7402], [0.2500, 0.4091, 0.2598], [0.7500, 0.9065, 0.2880], [0.2500, 0.0935, 0.7120]]}

=====

17.
{"formula": "AlInAgF6", "functional": "PBE", "state": "relaxed", "formation_energy_uncorrected_ev_per_atom": -2.449, "sg": "P-31c, No. 163", "rho_g_cm3": 4.455, "n_ef_per_ev_atom": 0.28, "lattice_angstrom": [[5.6960, 0.0000, 0.0000], [-2.8480, 4.9328, 0.0000], [0.0000, 0.0000, 9.6494]], "species": ["Al", "Al", "In", "In", "Ag", "Ag", "F", "F", "F", "F", "F", "F", "F", "F", "F", "F", "F", "F"], "fractional_positions": [[0.6667, 0.3333, 0.2500], [0.3333, 0.6667, 0.7500], [0.3333, 0.6667, 0.2500], [0.6667, 0.3333, 0.7500], [0.0000, 0.0000, 0.0000], [0.0000, 0.0000, 0.5000], [0.6565, 0.5957, 0.1422], [0.9392, 0.3435, 0.1422], [0.3435, 0.9392, 0.6422], [0.0608, 0.6565, 0.8578], [0.4043, 0.3435, 0.3578], [0.9392, 0.5957, 0.3578], [0.5957, 0.9392, 0.8578], [0.6565, 0.0608, 0.3578], [0.0608, 0.4043, 0.6422], [0.4043, 0.0608, 0.1422], [0.5957, 0.6565, 0.6422], [0.3435, 0.4043, 0.8578]]}

=====

18.
{"formula": "Ti3Bi", "functional": "PBE", "state": "relaxed", "sg": "Pmmm, No. 47", "rho_g_cm3": 7.770, "e_form_ev_per_atom": -0.067, "n_ef_per_ev_atom": 1.50, "lattice_angstrom": [[-0.1249, 2.0453, 3.6135], [-3.9633, 1.0600, -0.7370], [-1.3415, -3.6226, 2.0040]], "species": ["Bi", "Ti", "Ti", "Ti"], "fractional_positions": [[0.0000, 0.5000, 0.4167], [0.0000, 0.0000, 0.9167], [0.5000, 0.0000, 0.4167], [0.5000, 0.5000, 0.9167]]}

=====

19.
{"formula": "RbGaTc2Br", "functional": "PBE", "state": "relaxed", "formation_energy_uncorrected_ev_per_atom": 1.371, "sg": "P4/mmm, No. 123", "rho_g_cm3": 5.423, "n_ef_per_ev_atom": 0.85, "lattice_angstrom": [[4.7450, 0.0000, 0.0000], [0.0000, 5.8632, 0.0000], [0.0000, 0.0000, 4.7450]], "species": ["Ga", "Br", "Tc", "Tc", "Rb"], "fractional_positions": [[0.0000, 0.5000, 0.0000], [0.0000, 0.0000, 0.0000], [0.0000, 0.0000, 0.5000], [0.5000, 0.0000, 0.0000], [0.5000, 0.5000, 0.5000]]}

=====

20.
{"formula": "BaLa2Cr", "functional": "PBE", "state": "relaxed", "sg": "I-4m2, No. 119", "rho_g_cm3": 5.640, "e_form_ev_per_atom": 0.538, "n_ef_per_ev_atom": 1.38, "de_polymorph_mev_per_atom": 224.5, "lattice_angstrom": [[6.5058, 0.2373, 0.0000], [2.4196, 6.0437, 0.0000], [-4.4627, -3.1405, 3.5500]], "species": ["Ba", "Cr", "La", "La"], "fractional_positions": [[0.5000, 0.5000, 0.0000], [0.7500, 0.2500, 0.5000], [0.0000, 0.0000, 0.0000], [0.2500, 0.7500, 0.5000]]}

=====

21.
{"formula": "PrEuIr", "functional": "PBE", "state": "relaxed", "sg": "F-43m, No. 216", "rho_g_cm3": 9.283, "e_form_ev_per_atom": -0.444, "n_ef_per_ev_atom": 3.58, "de_polymorph_mev_per_atom": 0.0, "lattice_angstrom": [[4.9693, 0.0000, 0.0000], [2.4847, 4.3036, 0.0000], [2.4847, 1.4345, 4.0574]], "species": ["Eu", "Pr", "Ir"], "fractional_positions": [[0.5000, 0.5000, 0.5000], [0.0000, 0.0000, 0.0000], [0.2500, 0.2500, 0.2500]]}

=====

22.
{"formula": "Y4Al16Ni3", "functional": "PBE", "state": "relaxed", "sg": "P4/mmm, No. 123", "rho_g_cm3": 3.921, "e_form_ev_per_atom": -0.486, "n_ef_per_ev_atom": 0.32, "lattice_angstrom": [[6.0629, 0.0000, 0.0000], [0.0000, 6.0629, 0.0000], [0.0000, 0.0000, 11.0994]], "species": ["Y", "Y", "Y", "Y", "Al", "Al", "Al", "Al", "Al", "Al", "Al", "Al", "Al", "Al", "Al", "Al", "Al", "Al", "Al", "Al", "Ni", "Ni", "Ni"], "fractional_positions": [[0.5000, 0.0000, 0.8091], [0.0000, 0.5000, 0.1909], [0.0000, 0.5000, 0.8091], [0.5000, 0.0000, 0.1909], [0.0000, 0.0000, 0.7794], [0.2792, 0.2792, 0.0000], [0.5000, 0.5000, 0.8025], [0.7208, 0.2792, 0.0000], [0.5000, 0.5000, 0.1975], [0.7208, 0.7208, 0.0000], [0.0000, 0.0000, 0.2206], [0.7458, 0.7458, 0.6185], [0.7458, 0.2542, 0.3815], [0.2542, 0.2542, 0.6185], [0.2542, 0.7458, 0.3815], [0.2792, 0.7208, 0.0000], [0.7458, 0.7458, 0.3815], [0.7458, 0.2542, 0.6185], [0.2542, 0.2542, 0.3815], [0.2542, 0.7458, 0.6185], [0.0000, 0.5000, 0.5000], [0.0000, 0.0000, 0.0000], [0.5000, 0.0000, 0.5000]]}

=====

23.
{"formula": "Cd2FeSb", "functional": "PBE", "state": "relaxed", "formation_energy_uncorrected_ev_per_atom": 0.345, "sg": "I-4m2, No. 119", "rho_g_cm3": 8.163, "n_ef_per_ev_atom": 0.44, "lattice_angstrom": [[5.3472, -0.0244, 0.0000], [1.8824, 5.0050, 0.0000], [-3.6148, -2.4903, 3.0537]], "species": ["Cd", "Cd", "Fe", "Sb"], "fractional_positions": [[0.0000, 0.0000, 0.0000], [0.2500, 0.7500, 0.5000], [0.5000, 0.5000, 0.0000], [0.7500, 0.2500, 0.5000]]}